DFT (GGA+U) results for a relaxed structure of Pm2Mo2O7.

Unit cell a=3.750 b=7.061 c=7.061 alpha=57.69 beta=72.06 gamma=72.06
Sites, in units of the cell vectors:
Pm 0.211 0.775 0.775
Pm 0.789 0.225 0.225
Mo 0.500 0.734 0.266
Mo 0.500 0.266 0.734
O 0.366 0.970 0.361
O 0.634 0.639 0.030
O 0.634 0.030 0.639
O 0.366 0.361 0.970
O 0.000 0.000 0.000
O 0.834 0.427 0.427
O 0.166 0.573 0.573

Properties
**Uncorrected energy**: -0.5593 Ry/atom